(1)
A plane-wave DFT calculation with GGA-PBE was carried out for a geometry-optimized H3OsPb structure.

The structure in CIF format:
```
data_H3OsPb
_chemical_formula_sum 'H3 Os1 Pb1'
_cell_length_a 4.0490
_cell_length_b 4.0490
_cell_length_c 4.0490
_cell_angle_alpha 90.00
_cell_angle_beta 90.00
_cell_angle_gamma 90.00
_space_group_name_H-M_alt 'P m -3 m'
_space_group_IT_number 221
_space_group_name_Hall '-P 4 2 3'
loop_
_atom_site_label
_atom_site_fract_x
_atom_site_fract_y
_atom_site_fract_z
H1 0.0000 0.0000 0.5000
Os1 0.5000 0.5000 0.5000
Pb1 0.0000 0.0000 0.0000
```

DOS(E_F) ... 0.875 states/eV/atom
Offset from the most stable computed form ... 1.331 eV per atom

(2)
A plane-wave DFT calculation with GGA-PBE was carried out for a geometry-optimized H3OsPb structure.

The structure in CIF format:
```
data_H3OsPb
_chemical_formula_sum 'H3 Os1 Pb1'
_cell_length_a 3.7442
_cell_length_b 3.7442
_cell_length_c 3.7442
_cell_angle_alpha 90.00
_cell_angle_beta 90.00
_cell_angle_gamma 90.00
_space_group_name_H-M_alt 'P m -3 m'
_space_group_IT_number 221
_space_group_name_Hall '-P 4 2 3'
loop_
_atom_site_label
_atom_site_fract_x
_atom_site_fract_y
_atom_site_fract_z
H1 0.0000 0.0000 0.5000
Os1 0.0000 0.0000 0.0000
Pb1 0.5000 0.5000 0.5000
```

DOS(E_F) ... 0.255 states/eV/atom
Offset from the most stable computed form ... 0.000 eV per atom

(3)
A plane-wave DFT calculation with GGA-PBE was carried out for a geometry-optimized HOs2Pb structure.

The structure in CIF format:
```
data_HOs2Pb
_chemical_formula_sum 'H4 Os8 Pb4'
_cell_length_a 6.2306
_cell_length_b 6.2306
_cell_length_c 6.2306
_cell_angle_alpha 90.00
_cell_angle_beta 90.00
_cell_angle_gamma 90.00
_space_group_name_H-M_alt 'F m -3 m'
_space_group_IT_number 225
_space_group_name_Hall '-F 4 2 3'
loop_
_atom_site_label
_atom_site_fract_x
_atom_site_fract_y
_atom_site_fract_z
H1 0.0000 0.0000 0.0000
Os1 0.2500 0.2500 0.2500
Pb1 0.0000 0.0000 0.5000
```

DOS(E_F) ... 1.315 states/eV/atom
Offset from the most stable computed form ... 0.773 eV per atom

(4)
A plane-wave DFT calculation with GGA-PBE was carried out for a geometry-optimized HOs2Pb structure.

The structure in CIF format:
```
data_HOs2Pb
_chemical_formula_sum 'H4 Os8 Pb4'
_cell_length_a 5.4509
_cell_length_b 5.4509
_cell_length_c 8.0157
_cell_angle_alpha 90.00
_cell_angle_beta 90.00
_cell_angle_gamma 90.00
_space_group_name_H-M_alt 'I -4 2 d'
_space_group_IT_number 122
_space_group_name_Hall 'I -4 2bw'
loop_
_atom_site_label
_atom_site_fract_x
_atom_site_fract_y
_atom_site_fract_z
H1 0.0000 0.0000 0.0000
Os1 0.0815 0.2500 0.1250
Pb1 0.0000 0.0000 0.5000
```

DOS(E_F) ... 0.784 states/eV/atom
Offset from the most stable computed form ... 0.000 eV per atom

(5)
A plane-wave DFT calculation with GGA-PBE was carried out for a geometry-optimized H4OsPb structure.

The structure in CIF format:
```
data_H4OsPb
_chemical_formula_sum 'H16 Os4 Pb4'
_cell_length_a 4.8958
_cell_length_b 8.9310
_cell_length_c 5.9374
_cell_angle_alpha 90.00
_cell_angle_beta 105.01
_cell_angle_gamma 90.00
_space_group_name_H-M_alt 'C 1 2/c 1'
_space_group_IT_number 15
_space_group_name_Hall '-C 2yc'
loop_
_atom_site_label
_atom_site_fract_x
_atom_site_fract_y
_atom_site_fract_z
H1 0.0917 0.1003 0.4940
H2 0.1701 0.3990 0.1589
Os1 0.0000 0.0336 0.7500
Pb1 0.0000 0.3555 0.7500
```

DOS(E_F) ... 0.175 states/eV/atom
Uncorrected energy ... -108.97 eV for the cell shown

(6)
A plane-wave DFT calculation with GGA-PBE was carried out for a geometry-optimized HOs3Pb structure.

The structure in CIF format:
```
data_HOs3Pb
_chemical_formula_sum 'H1 Os3 Pb1'
_cell_length_a 5.0911
_cell_length_b 5.0911
_cell_length_c 5.0911
_cell_angle_alpha 90.00
_cell_angle_beta 90.00
_cell_angle_gamma 90.00
_space_group_name_H-M_alt 'P m -3 m'
_space_group_IT_number 221
_space_group_name_Hall '-P 4 2 3'
loop_
_atom_site_label
_atom_site_fract_x
_atom_site_fract_y
_atom_site_fract_z
H1 0.0000 0.0000 0.0000
Os1 0.0000 0.5000 0.5000
Pb1 0.5000 0.5000 0.5000
```

DOS(E_F) ... 1.168 states/eV/atom
Offset from the most stable computed form ... 2.809 eV per atom

(7)
A plane-wave DFT calculation with GGA-PBE was carried out for a geometry-optimized H8Os2Pb structure.

The structure in CIF format:
```
data_H8Os2Pb
_chemical_formula_sum 'H16 Os4 Pb2'
_cell_length_a 5.4925
_cell_length_b 7.2159
_cell_length_c 5.9501
_cell_angle_alpha 90.00
_cell_angle_beta 92.47
_cell_angle_gamma 90.00
_space_group_name_H-M_alt 'C 1 m 1'
_space_group_IT_number 8
_space_group_name_Hall 'C -2y'
loop_
_atom_site_label
_atom_site_fract_x
_atom_site_fract_y
_atom_site_fract_z
H1 0.0000 0.0000 0.0000
H2 0.0057 0.0000 0.5738
H3 0.1393 0.3416 0.6448
H4 0.2814 0.1567 0.9221
H5 0.3789 0.1911 0.5504
Os1 0.4240 0.3222 0.7730
Pb1 0.0927 0.5000 0.1122
```

Uncorrected energy ... -100.52 eV for the cell shown

(8)
A plane-wave DFT calculation with GGA-PBE was carried out for a geometry-optimized ReHOsPb2 structure.

The structure in CIF format:
```
data_ReHOsPb2
_chemical_formula_sum 'Re1 H1 Os1 Pb2'
_cell_length_a 5.3224
_cell_length_b 5.3224
_cell_length_c 4.7995
_cell_angle_alpha 90.00
_cell_angle_beta 90.00
_cell_angle_gamma 90.00
_space_group_name_H-M_alt 'P 4/m m m'
_space_group_IT_number 123
_space_group_name_Hall '-P 4 2'
loop_
_atom_site_label
_atom_site_fract_x
_atom_site_fract_y
_atom_site_fract_z
Re1 0.0000 0.0000 0.0000
H1 0.5000 0.5000 0.0000
Os1 0.0000 0.0000 0.5000
Pb1 0.0000 0.5000 0.5000
```

DOS(E_F) ... 0.748 states/eV/atom
Uncorrected energy ... -26.53 eV for the cell shown

(9)
A plane-wave DFT calculation with GGA-PBE was carried out for a geometry-optimized H2OsRuPb structure.

The structure in CIF format:
```
data_H2OsRuPb
_chemical_formula_sum 'H2 Os1 Ru1 Pb1'
_cell_length_a 3.8062
_cell_length_b 3.8062
_cell_length_c 4.8977
_cell_angle_alpha 90.00
_cell_angle_beta 90.00
_cell_angle_gamma 90.00
_space_group_name_H-M_alt 'P 4/m m m'
_space_group_IT_number 123
_space_group_name_Hall '-P 4 2'
loop_
_atom_site_label
_atom_site_fract_x
_atom_site_fract_y
_atom_site_fract_z
H1 0.0000 0.5000 0.0000
Os1 0.0000 0.0000 0.5000
Ru1 0.0000 0.0000 0.0000
Pb1 0.5000 0.5000 0.5000
```

DOS(E_F) ... 0.525 states/eV/atom
Uncorrected energy ... -26.79 eV for the cell shown

(10)
A plane-wave DFT calculation with GGA-PBE was carried out for a geometry-optimized HOsPb2Se structure.

The structure in CIF format:
```
data_HOsPb2Se
_chemical_formula_sum 'H1 Os1 Pb2 Se1'
_cell_length_a 5.6538
_cell_length_b 5.6538
_cell_length_c 3.2666
_cell_angle_alpha 90.00
_cell_angle_beta 90.00
_cell_angle_gamma 90.00
_space_group_name_H-M_alt 'P 4/m m m'
_space_group_IT_number 123
_space_group_name_Hall '-P 4 2'
loop_
_atom_site_label
_atom_site_fract_x
_atom_site_fract_y
_atom_site_fract_z
H1 0.0000 0.0000 0.0000
Os1 0.5000 0.5000 0.0000
Pb1 0.0000 0.5000 0.5000
Se1 0.0000 0.0000 0.5000
```

DOS(E_F) ... 0.598 states/eV/atom
Uncorrected energy ... -21.20 eV for the cell shown

(11)
A plane-wave DFT calculation with GGA-PBE was carried out for a geometry-optimized ZrH2OsPb structure.

The structure in CIF format:
```
data_ZrH2OsPb
_chemical_formula_sum 'Zr1 H2 Os1 Pb1'
_cell_length_a 3.8907
_cell_length_b 3.8907
_cell_length_c 5.7161
_cell_angle_alpha 90.00
_cell_angle_beta 90.00
_cell_angle_gamma 90.00
_space_group_name_H-M_alt 'P 4/m m m'
_space_group_IT_number 123
_space_group_name_Hall '-P 4 2'
loop_
_atom_site_label
_atom_site_fract_x
_atom_site_fract_y
_atom_site_fract_z
Zr1 0.0000 0.0000 0.0000
H1 0.0000 0.5000 0.0000
Os1 0.5000 0.5000 0.5000
Pb1 0.0000 0.0000 0.5000
```

DOS(E_F) ... 0.650 states/eV/atom
Uncorrected energy ... -25.74 eV for the cell shown

(12)
A plane-wave DFT calculation with GGA-PBE was carried out for a geometry-optimized HOs2Pd2 structure.

The structure in CIF format:
```
data_HOs2Pd2
_chemical_formula_sum 'H2 Os4 Pd4'
_cell_length_a 3.4781
_cell_length_b 3.4781
_cell_length_c 13.4838
_cell_angle_alpha 90.00
_cell_angle_beta 90.00
_cell_angle_gamma 90.00
_space_group_name_H-M_alt 'I 4/m m m'
_space_group_IT_number 139
_space_group_name_Hall '-I 4 2'
loop_
_atom_site_label
_atom_site_fract_x
_atom_site_fract_y
_atom_site_fract_z
H1 0.0000 0.0000 0.0000
Os1 0.0000 0.5000 0.2500
Pd1 0.0000 0.0000 0.4039
```

DOS(E_F) ... 0.635 states/eV/atom
Offset from the most stable computed form ... 0.000 eV per atom

(13)
A plane-wave DFT calculation with GGA-PBE was carried out for a geometry-optimized H3OsPd structure.

The structure in CIF format:
```
data_H3OsPd
_chemical_formula_sum 'H3 Os1 Pd1'
_cell_length_a 3.4276
_cell_length_b 3.4276
_cell_length_c 3.4276
_cell_angle_alpha 90.00
_cell_angle_beta 90.00
_cell_angle_gamma 90.00
_space_group_name_H-M_alt 'P m -3 m'
_space_group_IT_number 221
_space_group_name_Hall '-P 4 2 3'
loop_
_atom_site_label
_atom_site_fract_x
_atom_site_fract_y
_atom_site_fract_z
H1 0.0000 0.0000 0.5000
Os1 0.5000 0.5000 0.5000
Pd1 0.0000 0.0000 0.0000
```

DOS(E_F) ... 0.773 states/eV/atom
Offset from the most stable computed form ... 0.326 eV per atom